(1)
Compound: MnTeP2
Source: Alexandria
Functional: SCAN
Structure: PBEsol geometry

Values from the calculation:
The formation energy from raw total energies comes out at 0.4472 eV per atom. As for the symmetry: Cmmm (65).

abc: 3.3755 4.5709 4.5709
angles: 102.20 90.00 90.00
Closest atoms and distances in Å follow each position.
Fractional coordinates of all 4 atoms:
P 0.0000 0.5000 0.0000  4 Te 2.84, 4 Mn 2.84, 2 P 2.87
P 0.0000 0.0000 0.5000  4 Mn 2.84, 4 Te 2.84, 2 P 2.87
Te 0.5000 0.0000 0.0000  8 P 2.84, 2 Mn 2.87
Mn 0.5000 0.5000 0.5000  8 P 2.84, 2 Te 2.87


(2)
Compound: Cr2TcSb
Source: Alexandria
Functional: SCAN
Structure: PBEsol geometry

Values from the calculation:
The formation energy from raw total energies comes out at 0.5368 eV per atom. As for the symmetry: R3m (160).

abc: 2.9299 2.9299 8.0788
angles: 79.55 79.55 60.00
Closest atoms and distances in Å follow each position.
Fractional coordinates of all 4 atoms:
Cr 0.7391 0.7391 0.7828  3 Cr 2.33
Cr 0.0047 0.0047 0.9858  3 Cr 2.33, 3 Tc 2.54
Tc 0.2583 0.2583 0.2251  3 Cr 2.54, 3 Sb 2.79
Sb 0.4979 0.4979 0.5063  3 Cr 2.76, 3 Tc 2.79, 6 Sb 2.93


(3)
Compound: Rb2NaSbI6
Source: Alexandria
Functional: SCAN
Structure: PBEsol geometry

Values from the calculation:
The formation energy from raw total energies comes out at -1.0377 eV per atom. As for the symmetry: Fm-3m (225).

abc: 8.5213 8.5213 8.5213
angles: 60.00 60.00 60.00
Closest atoms and distances in Å follow each position.
Fractional coordinates of all 10 atoms:
I 0.7535 0.7535 0.2465  1 Sb 2.97, 1 Na 3.05
I 0.7535 0.2465 0.7535  1 Sb 2.97, 1 Na 3.05
I 0.2465 0.2465 0.7535  1 Sb 2.97, 1 Na 3.05
I 0.2465 0.7535 0.2465  1 Sb 2.97, 1 Na 3.05
I 0.2465 0.7535 0.7535  1 Sb 2.97, 1 Na 3.05
I 0.7535 0.2465 0.2465  1 Sb 2.97, 1 Na 3.05
Sb 0.0000 0.0000 0.0000  6 I 2.97
Rb 0.7500 0.7500 0.7500  12 I 4.26
Rb 0.2500 0.2500 0.2500  12 I 4.26
Na 0.5000 0.5000 0.5000  6 I 3.05


(4)
Compound: ZrReRu
Source: Alexandria
Functional: SCAN
Structure: PBEsol geometry

Values from the calculation:
As for the symmetry: I4mm (107). For the total DFT energy (no corrections), the calculation gives -136.72 eV for the cell shown.

abc: 3.2034 3.2034 5.2322
angles: 107.83 107.83 90.00
Closest atoms and distances in Å follow each position.
Fractional coordinates of all 3 atoms:
Re 0.0040 0.0040 0.0080  4 Ru 2.72, 4 Zr 2.78
Zr 0.3323 0.3323 0.6647  4 Ru 2.77, 5 Re 2.78-3.10
Ru 0.6636 0.6636 0.3273  4 Re 2.72, 4 Zr 2.77


(5)
Compound: Ba2YCdAu
Source: Alexandria
Functional: SCAN
Structure: PBEsol geometry

Values from the calculation:
As for the symmetry: P4/mmm (123). For the total DFT energy (no corrections), the calculation gives -206.70 eV for the cell shown.

abc: 5.2484 6.1320 6.1320
angles: 90.00 90.00 90.00
Closest atoms and distances in Å follow each position.
Fractional coordinates of all 5 atoms:
Cd 0.5000 0.0000 0.0000  2 Au 2.62
Ba 0.0000 0.5000 0.0000  2 Au 3.07
Ba 0.0000 0.0000 0.5000  2 Au 3.07
Au 0.0000 0.0000 0.0000  2 Cd 2.62
Y 0.5000 0.5000 0.5000  8 Ba 4.04, 4 Cd 4.34


(6)
Compound: Ag3Os
Source: Alexandria
Functional: SCAN
Structure: PBEsol geometry

Values from the calculation:
As for the symmetry: Pm-3m (221). For the total DFT energy (no corrections), the calculation gives -158.06 eV for the cell shown.

abc: 5.0424 5.0424 5.0424
angles: 90.00 90.00 90.00
Closest atoms and distances in Å follow each position.
Fractional coordinates of all 4 atoms:
Ag 0.5000 0.0000 0.0000  2 Os 2.52
Ag 0.0000 0.0000 0.5000  2 Os 2.52
Ag 0.0000 0.5000 0.0000  2 Os 2.52
Os 0.0000 0.0000 0.0000  6 Ag 2.52


(7)
Compound: TaAlOs2
Source: Alexandria
Functional: SCAN
Structure: PBEsol geometry

Values from the calculation:
As for the symmetry: C2/m (12). For the total DFT energy (no corrections), the calculation gives -218.85 eV for the cell shown.

abc: 2.7755 5.0494 5.0858
angles: 118.26 103.36 94.82
Closest atoms and distances in Å follow each position.
Fractional coordinates of all 4 atoms:
Ta 0.5000 0.0000 0.0000  4 Os 2.60, 2 Ta 2.78, 2 Al 2.78
Al 0.0000 0.5000 0.0000  4 Os 2.60, 2 Al 2.78, 2 Ta 2.78
Os 0.5000 0.5000 0.5000  2 Ta 2.60, 2 Al 2.60, 4 Os 2.78
Os 0.0000 0.0000 0.5000  2 Al 2.60, 2 Ta 2.60, 4 Os 2.78


(8)
Compound: MnBe3Co
Source: Alexandria
Functional: SCAN
Structure: PBEsol geometry

Values from the calculation:
As for the symmetry: Pm-3m (221). For the total DFT energy (no corrections), the calculation gives -43.20 eV for the cell shown.

abc: 3.8292 3.8292 3.8292
angles: 90.00 90.00 90.00
Closest atoms and distances in Å follow each position.
Fractional coordinates of all 5 atoms:
Be 0.0000 0.0000 0.5000  2 Mn 1.91
Be 0.0000 0.5000 0.0000  2 Mn 1.91
Be 0.5000 0.0000 0.0000  2 Mn 1.91
Co 0.5000 0.5000 0.5000  12 Be 2.71
Mn 0.0000 0.0000 0.0000  6 Be 1.91


(9)
Compound: Si5Pt12
Source: Alexandria
Functional: SCAN
Structure: PBEsol geometry

Values from the calculation:
The formation energy from raw total energies comes out at -0.6338 eV per atom. As for the symmetry: I4/m (87).

abc: 5.5079 7.2411 7.2411
angles: 81.68 67.65 67.65
Closest atoms and distances in Å follow each position.
Fractional coordinates of all 17 atoms:
Pt 0.5742 0.0554 0.2963  3 Si 2.40-2.66
Pt 0.9259 0.9446 0.7037  3 Si 2.40-2.66
Pt 0.9414 0.6914 0.4257  2 Si 2.41-2.44
Pt 0.3672 0.5743 0.6914  2 Si 2.41-2.44
Pt 0.8705 0.7037 0.0554  3 Si 2.40-2.66
Pt 0.6328 0.4257 0.3086  2 Si 2.41-2.44
Pt 0.0741 0.0554 0.2963  3 Si 2.40-2.66
Pt 0.0586 0.3086 0.5743  2 Si 2.41-2.44
Pt 0.6296 0.2963 0.9446  3 Si 2.40-2.66
Pt 0.4258 0.9446 0.7037  3 Si 2.40-2.66
Pt 0.3704 0.7037 0.0554  3 Si 2.40-2.66
Pt 0.1295 0.2963 0.9446  3 Si 2.40-2.66
Si 0.4183 0.7762 0.3873  6 Pt 2.40-2.66
Si 0.0000 0.0000 0.0000  8 Pt 2.44
Si 0.8056 0.6127 0.7762  6 Pt 2.40-2.66
Si 0.5817 0.2238 0.6127  6 Pt 2.40-2.66
Si 0.1944 0.3873 0.2238  6 Pt 2.40-2.66


(10)
Compound: AlSb2P
Source: Alexandria
Functional: SCAN
Structure: PBEsol geometry

Values from the calculation:
The formation energy from raw total energies comes out at -0.0123 eV per atom. As for the symmetry: R3m (160).

abc: 3.9332 3.9332 7.1856
angles: 74.12 74.12 60.00
Closest atoms and distances in Å follow each position.
Fractional coordinates of all 4 atoms:
P 0.2315 0.2315 0.3055  3 Al 2.45
Al 0.5205 0.5205 0.4385  3 P 2.45
Sb 0.7514 0.7514 0.7456  3 Sb 2.90, 3 Al 3.09
Sb 0.9966 0.9966 0.0103  3 Sb 2.90, 3 P 3.03


(11)
Compound: SrTi3Ru
Source: Alexandria
Functional: SCAN
Structure: PBEsol geometry

Values from the calculation:
As for the symmetry: Pm-3m (221). For the total DFT energy (no corrections), the calculation gives -104.04 eV for the cell shown.

abc: 4.7940 4.7940 4.7940
angles: 90.00 90.00 90.00
Closest atoms and distances in Å follow each position.
Fractional coordinates of all 5 atoms:
Sr 0.5000 0.5000 0.5000  12 Ti 3.39
Ru 0.0000 0.0000 0.0000  6 Ti 2.40
Ti 0.0000 0.5000 0.0000  2 Ru 2.40
Ti 0.0000 0.0000 0.5000  2 Ru 2.40
Ti 0.5000 0.0000 0.0000  2 Ru 2.40


(12)
Compound: CuH2Pd2
Source: Alexandria
Functional: SCAN
Structure: PBEsol geometry

Values from the calculation:
As for the symmetry: I4/mmm (139). For the total DFT energy (no corrections), the calculation gives -88.01 eV for the cell shown.

abc: 2.9996 2.9996 5.6248
angles: 105.46 105.46 90.00
Closest atoms and distances in Å follow each position.
Fractional coordinates of all 5 atoms:
H 0.2500 0.7500 0.5000  4 Pd 1.85
H 0.7500 0.2500 0.5000  4 Pd 1.85
Pd 0.6456 0.6456 0.2912  4 H 1.85
Pd 0.3544 0.3544 0.7088  4 H 1.85
Cu 0.0000 0.0000 0.0000  8 Pd 2.61


Mass density readings, ordered: 5.89, 9.15, 4.09, 12.99, 5.66, 6.66, 16.42, 4.17, 16.68, 5.48, 5.01, 9.86 Mg/m³